# PBE+U K3PuNi2O8, relaxed
data_K3PuNi2O8
_space_group_name_H-M_alt 'P 1'
_space_group_IT_number 1
_cell_length_a 5.8516
_cell_length_b 5.8516
_cell_length_c 7.7012
_cell_angle_alpha 90.00
_cell_angle_beta 90.00
_cell_angle_gamma 120.00
loop_
_space_group_symop_operation_xyz
'x,y,z'
loop_
_atom_site_label
_atom_site_fract_x
_atom_site_fract_y
_atom_site_fract_z
K1 0.0000 0.0000 0.0000
K2 0.3333 0.6667 0.6850
K3 0.6667 0.3333 0.3150
Pu1 0.0000 0.0000 0.5000
Ni1 0.3333 0.6667 0.2386
Ni2 0.6667 0.3333 0.7614
O1 0.1622 0.3244 0.3475
O2 0.1622 0.8378 0.3475
O3 0.3244 0.1622 0.6525
O4 0.3333 0.6667 0.0196
O5 0.6667 0.3333 0.9804
O6 0.6756 0.8378 0.3475
O7 0.8378 0.1622 0.6525
O8 0.8378 0.6756 0.6525
# Symmetry = P-3m1, No. 164
# Total energy = -5.94 eV/atom